First-principles (PBE) data for a relaxed structure of KCu2Cl, as listed in Alexandria via LeMat-Bulk.

Structure (extended XYZ):
```
4
Lattice="2.693 -6.299 0.000 2.693 6.299 0.000 0.000 0.000 2.841" Properties=species:S:1:pos:R:3 pbc="T T T"
K 0.000 0.000 0.000
Cu 1.346 3.149 1.420
Cu 1.346 -3.149 1.420
Cl 2.693 0.000 0.000
```

- space group = No. 65
- total energy (eV per cell) = -10.2
- E_form (uncorrected) (meV per atom) = 235
- distance to the lowest polymorph of the same formula (eV/atom) = 0.516